No. 1
An optimized crystal structure of Rb2ZrCl2O2. Source: Alexandria, functional PBE.

Cell: 8.9554 8.9554 8.9554 Å, 152.10 152.10 39.87°
Sites, in units of the cell vectors:
Rb: 0.1268 0.1268 0.0000
Rb: 0.8732 0.8732 0.0000
Zr: 0.5000 0.5000 0.0000
Cl: 0.3420 0.3420 0.0000
Cl: 0.6580 0.6580 0.0000
O: 0.0000 0.5000 0.5000
O: 0.5000 0.0000 0.5000

Computed properties:
M_tot, μB/cell: 0.00
Total DFT energy (no corrections), eV/atom: -5.72
E_form (uncorrected), meV per atom: -2278
Space group: I4/mmm (139)

No. 2
An optimized crystal structure of ReCl2O3. Source: Alexandria, functional PBE.

Cell: 5.0467 5.1324 12.7225 Å, 90.00 99.14 90.00°
Sites, in units of the cell vectors:
Re: 0.0225 0.2500 0.2831
Re: 0.9775 0.7500 0.7169
Cl: 0.2456 0.2500 0.4507
Cl: 0.4816 0.2500 0.9899
Cl: 0.5184 0.7500 0.0101
Cl: 0.7544 0.7500 0.5493
O: 0.0975 0.5160 0.2121
O: 0.0975 0.9840 0.2121
O: 0.3184 0.7500 0.7120
O: 0.6816 0.2500 0.2880
O: 0.9025 0.0160 0.7879
O: 0.9025 0.4840 0.7879

Computed properties:
M_tot, μB/cell: 0.37
Total DFT energy (no corrections), eV/atom: -6.15
E_form (uncorrected), meV per atom: -980
Space group: P2_1/m (11)

No. 3
An optimized crystal structure of Re2Cl8O. Source: Alexandria, functional PBE.

Cell: 7.1598 7.1598 6.8362 Å, 97.51 97.51 72.32°
Sites, in units of the cell vectors:
Re: 0.0658 0.0658 0.2630
Re: 0.9342 0.9342 0.7370
Cl: 0.1297 0.1297 0.6264
Cl: 0.2110 0.6701 0.7169
Cl: 0.2563 0.2563 0.2176
Cl: 0.3299 0.7890 0.2831
Cl: 0.6701 0.2110 0.7169
Cl: 0.7437 0.7437 0.7824
Cl: 0.7890 0.3299 0.2831
Cl: 0.8703 0.8703 0.3736
O: 0.0000 0.0000 0.0000

Computed properties:
M_tot, μB/cell: 2.31
Total DFT energy (no corrections), eV/atom: -4.77
E_form (uncorrected), meV per atom: -714
Space group: C2/m (12)

No. 4
An optimized crystal structure of ReCl2O. Source: Alexandria, functional PBE.

Cell: 4.2133 4.2133 4.2133 Å, 60.00 60.00 60.00°
Sites, in units of the cell vectors:
Re: 0.0000 0.0000 0.0000
Cl: 0.2500 0.2500 0.2500
Cl: 0.7500 0.7500 0.7500
O: 0.5000 0.5000 0.5000

Computed properties:
M_tot, μB/cell: 1.31
Total DFT energy (no corrections), eV/atom: -4.30
E_form (uncorrected), meV per atom: 973
Space group: Fm-3m (225)

No. 5
An optimized crystal structure of Re2Cl3O4. Source: Alexandria, functional PBE.

Cell: 8.7800 8.7800 5.6116 Å, 108.24 108.24 60.39°
Sites, in units of the cell vectors:
Re: 0.0301 0.3146 0.3300
Re: 0.3146 0.0301 0.8300
Re: 0.6854 0.9699 0.1700
Re: 0.9699 0.6854 0.6700
Cl: 0.1082 0.8918 0.7500
Cl: 0.1995 0.5634 0.9917
Cl: 0.4366 0.8005 0.5083
Cl: 0.5634 0.1995 0.4917
Cl: 0.8005 0.4366 0.0083
Cl: 0.8918 0.1082 0.2500
O: 0.1137 0.4888 0.4250
O: 0.1748 0.1846 0.5929
O: 0.1846 0.1748 0.0929
O: 0.4888 0.1137 0.9250
O: 0.5112 0.8863 0.0750
O: 0.8154 0.8252 0.9071
O: 0.8252 0.8154 0.4071
O: 0.8863 0.5112 0.5750

Computed properties:
M_tot, μB/cell: 0.00
Total DFT energy (no corrections), eV/atom: -6.64
E_form (uncorrected), meV per atom: -1054
Space group: C2/c (15)

No. 6
An optimized crystal structure of Re2Cl5O4. Source: Alexandria, functional PBE.

Cell: 6.1075 9.1165 12.1279 Å, 68.99 79.95 82.07°
Sites, in units of the cell vectors:
Re: 0.1300 0.1061 0.1912
Re: 0.2723 0.5883 0.6540
Re: 0.7277 0.4117 0.3460
Re: 0.8700 0.8939 0.8088
Cl: 0.1010 0.0851 0.6912
Cl: 0.1169 0.8180 0.9457
Cl: 0.2480 0.3570 0.1058
Cl: 0.2589 0.0929 0.3617
Cl: 0.4564 0.3839 0.7747
Cl: 0.5436 0.6161 0.2253
Cl: 0.7411 0.9071 0.6383
Cl: 0.7520 0.6430 0.8942
Cl: 0.8831 0.1820 0.0543
Cl: 0.8990 0.9149 0.3088
O: 0.0405 0.5277 0.6256
O: 0.1871 0.7323 0.7190
O: 0.3359 0.0013 0.1321
O: 0.4392 0.6684 0.5209
O: 0.5608 0.3316 0.4791
O: 0.6641 0.9987 0.8679
O: 0.8129 0.2677 0.2810
O: 0.9595 0.4723 0.3744

Computed properties:
M_tot, μB/cell: 2.00
Total DFT energy (no corrections), eV/atom: -5.96
E_form (uncorrected), meV per atom: -1058
Space group: P-1 (2)

No. 7
An optimized crystal structure of Re2ClO. Source: Alexandria, functional PBE.

Cell: 4.1221 4.1221 4.1221 Å, 60.00 60.00 60.00°
Sites, in units of the cell vectors:
Re: 0.2500 0.2500 0.2500
Re: 0.7500 0.7500 0.7500
Cl: 0.0000 0.0000 0.0000
O: 0.5000 0.5000 0.5000

Computed properties:
M_tot, μB/cell: 0.00
Total DFT energy (no corrections), eV/atom: -6.65
E_form (uncorrected), meV per atom: 1271
Space group: Fm-3m (225)

No. 8
An optimized crystal structure of Re2Cl5O4. Source: Alexandria, functional PBE.

Cell: 6.0941 6.7198 9.0990 Å, 108.93 106.77 97.05°
Sites, in units of the cell vectors:
Re: 0.0000 0.0000 0.0000
Re: 0.0341 0.5697 0.5522
Cl: 0.2123 0.9022 0.1961
Cl: 0.2635 0.9095 0.6282
Cl: 0.3083 0.5358 0.7707
Cl: 0.7208 0.6858 0.4246
Cl: 0.7648 0.3164 0.5699
O: 0.1033 0.4220 0.3898
O: 0.1549 0.2350 0.0047
O: 0.7408 0.0429 0.0299
O: 0.9338 0.7955 0.8069

Computed properties:
M_tot, μB/cell: 1.00
Total DFT energy (no corrections), eV/atom: -5.96
E_form (uncorrected), meV per atom: -1055
Space group: P1 (1)

No. 9
An optimized crystal structure of ReClO3. Source: Alexandria, functional PBE.

Cell: 5.8851 9.8118 9.9546 Å, 90.00 124.08 90.00°
Sites, in units of the cell vectors:
Re: 0.0741 0.2285 0.2588
Re: 0.0741 0.2715 0.7588
Re: 0.9259 0.7285 0.2412
Re: 0.9259 0.7715 0.7412
Cl: 0.3507 0.0860 0.2405
Cl: 0.3507 0.4140 0.7405
Cl: 0.6493 0.5860 0.2595
Cl: 0.6493 0.9140 0.7595
O: 0.0735 0.1903 0.4278
O: 0.0735 0.3097 0.9278
O: 0.1781 0.1045 0.7751
O: 0.1781 0.3955 0.2751
O: 0.2583 0.7157 0.4092
O: 0.2583 0.7843 0.9092
O: 0.7417 0.2157 0.0908
O: 0.7417 0.2843 0.5908
O: 0.8219 0.6045 0.7249
O: 0.8219 0.8955 0.2249
O: 0.9265 0.6903 0.0722
O: 0.9265 0.8097 0.5722

Computed properties:
M_tot, μB/cell: 0.00
Total DFT energy (no corrections), eV/atom: -7.15
E_form (uncorrected), meV per atom: -1320
Space group: P2_1/c (14)

No. 10
An optimized crystal structure of ReCl3O. Source: Alexandria, functional PBE.

Cell: 8.4449 8.4449 5.8336 Å, 92.81 92.81 84.21°
Sites, in units of the cell vectors:
Re: 0.1902 0.1902 0.4633
Re: 0.8098 0.8098 0.5367
Cl: 0.0184 0.3327 0.2281
Cl: 0.3327 0.0184 0.2281
Cl: 0.3631 0.3631 0.5928
Cl: 0.6369 0.6369 0.4072
Cl: 0.6673 0.9816 0.7719
Cl: 0.9816 0.6673 0.7719
O: 0.1040 0.1040 0.6779
O: 0.8960 0.8960 0.3221

Computed properties:
M_tot, μB/cell: 4.00
Total DFT energy (no corrections), eV/atom: -5.30
E_form (uncorrected), meV per atom: -711
Space group: C2/m (12)

No. 11
An optimized crystal structure of ReClO3. Source: Alexandria, functional PBE.

Cell: 6.2797 5.2039 7.3190 Å, 90.00 90.01 90.00°
Sites, in units of the cell vectors:
Re: 0.2050 0.0000 0.2498
Re: 0.7950 0.5000 0.7502
Cl: 0.1283 0.6462 0.7495
Cl: 0.8717 0.1462 0.2505
O: 0.1991 0.6681 0.2495
O: 0.3386 0.1028 0.0575
O: 0.3396 0.1024 0.4417
O: 0.6604 0.6024 0.5583
O: 0.6614 0.6028 0.9425
O: 0.8009 0.1681 0.7505

Computed properties:
M_tot, μB/cell: 0.11
Total DFT energy (no corrections), eV/atom: -7.14
E_form (uncorrected), meV per atom: -1306
Space group: P2_1 (4)

No. 12
An optimized crystal structure of ReClO3. Source: Alexandria, functional PBE.

Cell: 5.0693 7.7490 6.5503 Å, 90.00 91.10 90.00°
Sites, in units of the cell vectors:
Re: 0.2249 0.2500 0.2468
Re: 0.7751 0.7500 0.7532
Cl: 0.4493 0.2500 0.9576
Cl: 0.5507 0.7500 0.0424
O: 0.0276 0.0689 0.2560
O: 0.0276 0.4311 0.2560
O: 0.4376 0.2500 0.4553
O: 0.5624 0.7500 0.5447
O: 0.9724 0.5689 0.7440
O: 0.9724 0.9311 0.7440

Computed properties:
M_tot, μB/cell: 0.14
Total DFT energy (no corrections), eV/atom: -7.14
E_form (uncorrected), meV per atom: -1308
Space group: P2_1/m (11)

No. 13
An optimized crystal structure of ReClO3. Source: Alexandria, functional PBE.

Cell: 3.8603 3.8603 3.8603 Å, 90.00 90.00 90.00°
Sites, in units of the cell vectors:
Re: 0.0000 0.0000 0.0000
Cl: 0.5000 0.5000 0.5000
O: 0.0000 0.0000 0.5000
O: 0.0000 0.5000 0.0000
O: 0.5000 0.0000 0.0000

Computed properties:
M_tot, μB/cell: 0.00
Total DFT energy (no corrections), eV/atom: -6.57
E_form (uncorrected), meV per atom: -737
Space group: Pm-3m (221)

No. 14
An optimized crystal structure of Re2Cl2O7. Source: Alexandria, functional PBE.

Cell: 4.2350 6.4366 9.3057 Å, 91.02 102.55 105.71°
Sites, in units of the cell vectors:
Re: 0.2413 0.3276 0.3241
Re: 0.7587 0.6724 0.6759
Cl: 0.4231 0.6748 0.2003
Cl: 0.5769 0.3252 0.7997
O: 0.1569 0.6542 0.6697
O: 0.2286 0.2970 0.1307
O: 0.2372 0.0701 0.3730
O: 0.5000 0.5000 0.5000
O: 0.7628 0.9299 0.6270
O: 0.7714 0.7030 0.8693
O: 0.8431 0.3458 0.3303

Computed properties:
M_tot, μB/cell: 1.94
Total DFT energy (no corrections), eV/atom: -6.75
E_form (uncorrected), meV per atom: -993
Space group: P-1 (2)

No. 15
An optimized crystal structure of Re3ClO. Source: Alexandria, functional PBE.

Cell: 4.1592 4.1592 4.1592 Å, 90.00 90.00 90.00°
Sites, in units of the cell vectors:
Re: 0.0000 0.0000 0.5000
Re: 0.0000 0.5000 0.0000
Re: 0.5000 0.0000 0.0000
Cl: 0.5000 0.5000 0.5000
O: 0.0000 0.0000 0.0000

Computed properties:
M_tot, μB/cell: 0.00
Total DFT energy (no corrections), eV/atom: -7.33
E_form (uncorrected), meV per atom: 1499
Space group: Pm-3m (221)

No. 16
An optimized crystal structure of Re4Cl8O9. Source: Alexandria, functional PBE.

Cell: 6.5171 6.6840 13.1188 Å, 76.22 85.85 83.87°
Sites, in units of the cell vectors:
Re: 0.1335 0.1819 0.3415
Re: 0.1519 0.3951 0.8951
Re: 0.8481 0.6049 0.1049
Re: 0.8665 0.8181 0.6585
Cl: 0.1283 0.7746 0.1244
Cl: 0.2554 0.3573 0.7274
Cl: 0.2698 0.3777 0.4289
Cl: 0.3379 0.6820 0.8546
Cl: 0.6621 0.3180 0.1454
Cl: 0.7302 0.6223 0.5711
Cl: 0.7446 0.6427 0.2726
Cl: 0.8717 0.2254 0.8756
O: 0.0000 0.5000 0.0000
O: 0.1035 0.3155 0.2115
O: 0.1043 0.8835 0.6021
O: 0.2924 0.9588 0.3437
O: 0.3133 0.2092 0.9670
O: 0.6867 0.7908 0.0330
O: 0.7076 0.0412 0.6563
O: 0.8957 0.1165 0.3979
O: 0.8965 0.6845 0.7885

Computed properties:
M_tot, μB/cell: 0.00
Total DFT energy (no corrections), eV/atom: -6.34
E_form (uncorrected), meV per atom: -1138
Space group: P-1 (2)

No. 17
An optimized crystal structure of ReCl3O. Source: Alexandria, functional PBE.

Cell: 4.6591 4.6591 4.6591 Å, 90.00 90.00 90.00°
Sites, in units of the cell vectors:
Re: 0.0000 0.0000 0.0000
Cl: 0.0000 0.0000 0.5000
Cl: 0.0000 0.5000 0.0000
Cl: 0.5000 0.0000 0.0000
O: 0.5000 0.5000 0.5000

Computed properties:
M_tot, μB/cell: 0.01
Total DFT energy (no corrections), eV/atom: -3.90
E_form (uncorrected), meV per atom: 684
Space group: Pm-3m (221)

No. 18
An optimized crystal structure of ReCl2O. Source: Alexandria, functional PBE.

Cell: 5.7768 5.7768 5.7768 Å, 116.64 116.64 95.92°
Sites, in units of the cell vectors:
Re: 0.0000 0.0000 0.0000
Re: 0.7500 0.2500 0.5000
Cl: 0.1017 0.6250 0.9767
Cl: 0.3750 0.3517 0.4767
Cl: 0.6483 0.1250 0.0233
Cl: 0.8750 0.8983 0.5233
O: 0.2500 0.7500 0.5000
O: 0.5000 0.5000 0.0000

Computed properties:
M_tot, μB/cell: 0.00
Total DFT energy (no corrections), eV/atom: -4.30
E_form (uncorrected), meV per atom: 974
Space group: I-42d (122)

No. 19
An optimized crystal structure of Re2ClO. Source: Alexandria, functional PBE.

Cell: 7.7928 7.7928 7.7928 Å, 150.16 150.16 42.71°
Sites, in units of the cell vectors:
Re: 0.0496 0.6250 0.9246
Re: 0.3750 0.2996 0.4246
Re: 0.7004 0.1250 0.0754
Re: 0.8750 0.9504 0.5754
Cl: 0.2500 0.7500 0.5000
Cl: 0.5000 0.5000 0.0000
O: 0.0000 0.0000 0.0000
O: 0.7500 0.2500 0.5000

Computed properties:
M_tot, μB/cell: 0.00
Total DFT energy (no corrections), eV/atom: -7.54
E_form (uncorrected), meV per atom: 383
Space group: I-42d (122)

No. 20
An optimized crystal structure of ReCl3O. Source: Alexandria, functional PBE.

Cell: 4.4147 4.4147 4.4147 Å, 90.00 90.00 90.00°
Sites, in units of the cell vectors:
Re: 0.0000 0.0000 0.0000
Cl: 0.0000 0.5000 0.5000
Cl: 0.5000 0.0000 0.5000
Cl: 0.5000 0.5000 0.0000
O: 0.5000 0.5000 0.5000

Computed properties:
M_tot, μB/cell: 0.02
Total DFT energy (no corrections), eV/atom: -2.88
E_form (uncorrected), meV per atom: 1712
Space group: Pm-3m (221)